# CsHICl6

A geometry-optimized CsHICl6 structure (PBE, the Alexandria database).

```
9
Lattice="7.375 1.581 -0.087 4.995 7.794 -1.491 0.113 -1.880 7.054" Properties=species:S:1:pos:R:3 pbc="T T T"
Cl 7.228 6.706 3.317
Cl 11.147 6.409 3.719
Cl 6.387 2.464 3.993
Cl 5.649 3.589 0.517
Cl 9.299 4.319 1.618
Cl 9.504 8.107 0.345
Cs 5.772 7.074 -0.296
I 4.203 2.612 2.798
H 8.108 5.877 2.822
```

Results
- Size of the total moment: 1.0 μB/cell
- Space-group type: P1 (1)
- Energy: -2.49 eV per atom